SrNd | the Alexandria database | PBE | optimized geometry; energy above the most stable polymorph in this dataset = 24.0 meV per atom; formation energy = 94 meV/atom; volume = 172 Å³ per cell; density of states at the Fermi level = 4.9 states/eV/cell; ρ = 4.5 Mg/m³
1.0
3.930 0.000 0.000
-1.965 3.403 0.000
0.000 0.000 12.869
Sr Nd
2 2
Direct
0.333 0.667 0.139 Sr
0.667 0.333 0.861 Sr
0.333 0.667 0.608 Nd
0.667 0.333 0.392 Nd